Record 1
## UMn2VO6 (GGA+U)

Data for a geometry-optimized UMn2VO6 structure.

Computed properties:
Its space group is P2_1/c (14). The value obtained for the total energy is -172.47 eV per cell.

Lattice parameters (Å, degrees): 5.4389 5.5718 9.6685 90.00 123.60 90.00
Element x y z (fractional)
U 0.0000 0.0000 0.0000
U 0.0000 0.5000 0.5000
Mn 0.2572 0.0411 0.7547
Mn 0.2572 0.4589 0.2547
Mn 0.7428 0.5411 0.7453
Mn 0.7428 0.9589 0.2453
V 0.5000 0.0000 0.5000
V 0.5000 0.5000 0.0000
O 0.1279 0.0756 0.2533
O 0.1279 0.4244 0.7533
O 0.2583 0.6764 0.0707
O 0.2583 0.8236 0.5707
O 0.3961 0.1881 0.0624
O 0.3961 0.3119 0.5624
O 0.6039 0.6881 0.4376
O 0.6039 0.8119 0.9376
O 0.7417 0.1764 0.4293
O 0.7417 0.3236 0.9293
O 0.8721 0.5756 0.2467
O 0.8721 0.9244 0.7467

Record 2
## UMnVO6 (GGA+U)

Data for a geometry-optimized UMnVO6 structure.

Computed properties:
Its space group is P-31c (163). The value obtained for the total energy is -149.17 eV per cell.

Lattice parameters (Å, degrees): 5.3423 5.3423 8.8874 90.00 90.00 120.00
Element x y z (fractional)
U 0.3333 0.6667 0.2500
U 0.6667 0.3333 0.7500
Mn 0.0000 0.0000 0.0000
Mn 0.0000 0.0000 0.5000
V 0.3333 0.6667 0.7500
V 0.6667 0.3333 0.2500
O 0.0173 0.3548 0.6337
O 0.0173 0.6625 0.8663
O 0.3375 0.3548 0.8663
O 0.3375 0.9827 0.6337
O 0.3548 0.0173 0.1337
O 0.3548 0.3375 0.3663
O 0.6452 0.6625 0.6337
O 0.6452 0.9827 0.8663
O 0.6625 0.0173 0.3663
O 0.6625 0.6452 0.1337
O 0.9827 0.3375 0.1337
O 0.9827 0.6452 0.3663

Record 3
## YUMnO6 (GGA+U)

Data for a geometry-optimized YUMnO6 structure.

Computed properties:
Its space group is P-31c (163). The value obtained for the total energy is -156.87 eV per cell.

Lattice parameters (Å, degrees): 5.6896 5.6896 8.7614 90.00 90.00 120.00
Element x y z (fractional)
Y 0.3333 0.6667 0.2500
Y 0.6667 0.3333 0.7500
U 0.3333 0.6667 0.7500
U 0.6667 0.3333 0.2500
Mn 0.0000 0.0000 0.0000
Mn 0.0000 0.0000 0.5000
O 0.0271 0.3455 0.6273
O 0.0271 0.6817 0.8727
O 0.3183 0.3455 0.8727
O 0.3183 0.9729 0.6273
O 0.3455 0.0271 0.1273
O 0.3455 0.3183 0.3727
O 0.6545 0.6817 0.6273
O 0.6545 0.9729 0.8727
O 0.6817 0.0271 0.3727
O 0.6817 0.6545 0.1273
O 0.9729 0.3183 0.1273
O 0.9729 0.6545 0.3727

Record 4
## YUMn2O8 (GGA+U)

Data for a geometry-optimized YUMn2O8 structure.

Computed properties:
Its space group is C2/m (12). The value obtained for the total energy is -100.58 eV per cell.

Lattice parameters (Å, degrees): 4.7795 4.7795 6.9214 94.07 94.07 86.32
Element x y z (fractional)
Y 0.0000 0.0000 0.0000
U 0.0000 0.0000 0.5000
Mn 0.4774 0.4774 0.7733
Mn 0.5226 0.5226 0.2267
O 0.2038 0.7895 0.7369
O 0.2105 0.7962 0.2631
O 0.2909 0.2909 0.5420
O 0.3251 0.3251 0.0113
O 0.6749 0.6749 0.9887
O 0.7091 0.7091 0.4580
O 0.7895 0.2038 0.7369
O 0.7962 0.2105 0.2631